VCuSiF2 | PBE with a Hubbard U | optimized geometry

The calculation puts the total magnetic moment at 0.0 μB per formula unit. The calculation puts the total DFT energy (no corrections) at -4.65 eV per atom. For the volume, the calculation gives 15.4 Å³/atom.

The space group is P4/mmm (No. 123) and the conventional cell measures 3.721, 3.721 and 5.563 Å, with angles of 90.00, 90.00 and 90.00 degrees. Symmetry generates all atoms from V at (0.000, 0.000, 0.000), Cu at (0.000, 0.000, 0.500), Si at (0.500, 0.500, 0.500) and F at (0.000, 0.500, 0.000).